(1)
PBE CaPr3Se4, optimized geometry; mass density = 5938 kg/m³; symmetry = No. 221; raw formation energy = -1.87 eV/atom; E above lowest polymorph = 0.005 eV/atom
1.0
-0.5231 4.2668 -4.2088
-4.8767 2.1528 2.7886
3.4838 3.6542 3.2715
Pr Ca Se
3 1 4
direct
0.0000 0.5000 0.5000
0.5000 0.0000 0.5000
0.5000 0.5000 0.0000
0.0000 0.0000 0.0000
0.5000 0.0000 0.0000
0.0000 0.5000 0.0000
0.0000 0.0000 0.5000
0.5000 0.5000 0.5000

=====

(2)
PBE CaPr3Se4, optimized geometry; mass density = 5950 kg/m³; symmetry = No. 65; raw formation energy = -1.87 eV/atom; E above lowest polymorph = 0.000 eV/atom
1.0
4.2235 0.0000 0.0000
0.0000 7.3782 -0.0439
0.0000 -2.3679 6.9881
Ca Pr Se
1 3 4
direct
0.5000 0.0000 0.0000
0.0000 0.0000 0.5000
0.5000 0.5000 0.5000
0.0000 0.5000 0.0000
0.0000 0.2431 0.2431
0.5000 0.7544 0.2456
0.0000 0.7569 0.7569
0.5000 0.2456 0.7544

=====

(3)
PBE CaPr2SmSe4, optimized geometry; mass density = 6135 kg/m³; symmetry = No. 10; raw formation energy = -1.87 eV/atom
1.0
4.1958 0.0000 0.0000
0.0000 7.3549 -0.1827
0.0000 2.5541 6.8485
Ca Pr Sm Se
1 2 1 4
direct
0.5000 0.5000 0.0000
0.0000 0.0000 0.0000
0.5000 0.0000 0.5000
0.0000 0.5000 0.5000
0.0000 0.7399 0.7548
0.0000 0.2601 0.2452
0.5000 0.7401 0.2507
0.5000 0.2599 0.7493

=====

(4)
PBE Ca2Pr3SmSe6, optimized geometry; mass density = 5836 kg/m³; symmetry = No. 12; raw formation energy = -1.88 eV/atom
1.0
7.2821 -0.0067 -0.0022
-3.6451 6.3041 -0.0022
-1.2154 -2.1045 6.9903
Ca Pr Sm Se
2 3 1 6
direct
0.3331 0.6669 0.0000
0.6669 0.3331 0.0000
0.1684 0.8316 0.5000
0.8316 0.1684 0.5000
0.5000 0.5000 0.5000
0.0000 0.0000 0.0000
0.9203 0.5852 0.7612
0.7458 0.7458 0.2422
0.0797 0.4148 0.2388
0.5852 0.9203 0.7612
0.2542 0.2542 0.7578
0.4148 0.0797 0.2388

=====

(5)
PBE Ca3PrSm3Se8, optimized geometry; mass density = 5355 kg/m³; symmetry = No. 166; raw formation energy = -1.91 eV/atom
1.0
8.3577 0.0000 0.0000
-4.1788 7.2392 -0.0248
0.0000 -4.8015 6.9048
Ca Pr Sm Se
3 1 3 8
direct
0.0000 0.0000 0.0000
0.0000 0.5000 0.0000
0.5000 0.5000 0.0000
0.0000 0.0000 0.5000
0.5000 0.0000 0.5000
0.5000 0.5000 0.5000
0.0000 0.5000 0.5000
0.2495 0.4990 0.2490
0.7505 0.5010 0.7510
0.7472 0.4943 0.2486
0.2528 0.5057 0.7514
0.7474 0.0020 0.2499
0.2526 0.9980 0.7501
0.2546 0.0020 0.2499
0.7454 0.9980 0.7501

=====

(6)
PBE Ca3Pr2SmSe6, optimized geometry; mass density = 5348 kg/m³; symmetry = No. 12; raw formation energy = -1.90 eV/atom
1.0
-6.4829 0.0580 -3.2515
0.4192 -0.1084 7.2399
2.0344 7.0070 -1.2273
Ca Pr Sm Se
3 2 1 6
direct
0.1679 0.8321 0.5000
0.8321 0.1679 0.5000
0.5000 0.5000 0.5000
0.3338 0.6662 0.0000
0.6662 0.3338 0.0000
0.0000 0.0000 0.0000
0.9146 0.5857 0.7433
0.7572 0.7572 0.2572
0.0854 0.4143 0.2567
0.5857 0.9146 0.7433
0.2428 0.2428 0.7428
0.4143 0.0854 0.2567

=====

(7)
PBE Ca3PrSm2Se6, optimized geometry; mass density = 5463 kg/m³; symmetry = No. 12; raw formation energy = -1.90 eV/atom
1.0
7.2259 0.0019 -0.0005
-3.6095 6.2598 -0.0005
-1.2070 -2.0899 6.9586
Ca Pr Sm Se
3 1 2 6
direct
0.1654 0.8346 0.5000
0.8346 0.1654 0.5000
0.5000 0.5000 0.5000
0.0000 0.0000 0.0000
0.3330 0.6670 0.0000
0.6670 0.3330 0.0000
0.9150 0.5770 0.7451
0.7468 0.7468 0.2544
0.0850 0.4230 0.2549
0.5770 0.9150 0.7451
0.2532 0.2532 0.7456
0.4230 0.0850 0.2549

=====

(8)
PBE CaPr4SmSe8, optimized geometry; mass density = 4886 kg/m³; symmetry = No. 160; raw formation energy = -1.80 eV/atom
1.0
8.7485 0.0000 0.0000
4.3743 7.5764 0.0000
4.3743 2.5255 7.1053
Ca Pr Sm Se
1 4 1 8
direct
0.3753 0.3753 0.8741
0.6244 0.6244 0.1268
0.0021 0.4939 0.5019
0.4939 0.0021 0.5019
0.0021 0.0021 0.5019
0.0023 0.0023 0.9932
0.2395 0.7739 0.7471
0.7739 0.2395 0.7471
0.2395 0.2395 0.7471
0.2426 0.2426 0.2721
0.7616 0.2234 0.2534
0.2234 0.7616 0.2534
0.7616 0.7616 0.2534
0.7579 0.7579 0.7263

=====

(9)
PBE CaPr3Sm2Se6, optimized geometry; mass density = 6431 kg/m³; symmetry = No. 12; raw formation energy = -1.86 eV/atom
1.0
-3.8083 -6.2001 0.4826
7.2880 -0.1668 0.1854
-1.3161 2.7500 6.6877
Ca Pr Sm Se
1 3 2 6
direct
0.0000 0.0000 0.0000
0.1670 0.8330 0.5000
0.8330 0.1670 0.5000
0.5000 0.5000 0.5000
0.3330 0.6670 0.0000
0.6670 0.3330 0.0000
0.9198 0.5899 0.7592
0.7499 0.7499 0.2391
0.0802 0.4101 0.2408
0.5899 0.9198 0.7592
0.2501 0.2501 0.7609
0.4101 0.0802 0.2408

=====

(10)
PBE CaPrSm4Se8, optimized geometry; mass density = 5143 kg/m³; symmetry = No. 160; raw formation energy = -1.80 eV/atom
1.0
8.6249 0.0000 0.0000
4.3124 7.4693 0.0000
4.3124 2.4898 7.0869
Ca Pr Sm Se
1 1 4 8
direct
0.3744 0.3744 0.8769
0.0020 0.0020 0.9941
0.6255 0.6255 0.1234
0.0020 0.4938 0.5022
0.4938 0.0020 0.5022
0.0020 0.0020 0.5022
0.2445 0.7746 0.7364
0.7746 0.2445 0.7364
0.2445 0.2445 0.7364
0.2411 0.2411 0.2768
0.7548 0.2278 0.2626
0.2278 0.7548 0.2626
0.7548 0.7548 0.2626
0.7583 0.7583 0.7251

=====

(11)
PBE Ca3PrSm4Se8, optimized geometry; mass density = 5947 kg/m³; symmetry = No. 166; raw formation energy = -1.88 eV/atom
1.0
8.3631 0.0000 0.0000
0.0000 8.4117 0.0284
-4.1816 -4.1774 5.9173
Ca Pr Sm Se
3 1 4 8
direct
0.5000 0.5000 0.0000
0.5000 0.5000 0.5000
0.0000 0.5000 0.5000
0.0000 0.5000 0.0000
0.5000 0.0000 0.0000
0.5000 0.0000 0.5000
0.0000 0.0000 0.0000
0.0000 0.0000 0.5000
0.2525 0.7500 0.9974
0.2525 0.7499 0.5051
0.2508 0.2522 0.5016
0.7449 0.7500 0.9974
0.2551 0.2500 0.0026
0.7492 0.7478 0.4984
0.7475 0.2501 0.4949
0.7475 0.2500 0.0026

=====

(12)
PBE CaPr2Sm3Se6, optimized geometry; mass density = 6541 kg/m³; symmetry = No. 12; raw formation energy = -1.86 eV/atom
1.0
4.1866 0.0000 0.0000
0.0000 8.4622 0.3095
-2.0933 -2.4328 8.8454
Ca Pr Sm Se
1 2 3 6
direct
0.5000 0.0000 0.0000
0.8295 0.6604 0.6591
0.1705 0.3396 0.3409
0.5000 0.5000 0.0000
0.8303 0.1697 0.6607
0.1697 0.8303 0.3393
0.3360 0.9241 0.6719
0.6626 0.5871 0.3253
0.6640 0.0759 0.3281
0.9986 0.2468 0.9972
0.0014 0.7532 0.0028
0.3374 0.4129 0.6747

=====

Listing total DFT energy (no corrections) for the structures above in their given order: -5.653, -5.658, -5.646, -5.545, -5.435, -5.337, -5.329, -5.633, -5.747, -5.623, -5.474, -5.744 eV per atom.